(1)
This record from the Alexandria database describes a relaxed structure of Pu8BiSb5. The functional is GGA-PBE.

Computed properties:
formation energy without anion corrections: -0.514 eV/atom
symmetry: I-4 (82)
electronic total energy: -10.45 eV per atom

Unit cell a=8.066 b=8.066 c=8.066 alpha=109.76 beta=109.76 gamma=108.89
Positions (direct):
Pu 0.025 0.614 0.741
Pu 0.227 0.476 0.095
Pu 0.381 0.132 0.905
Pu 0.386 0.127 0.411
Pu 0.524 0.619 0.751
Pu 0.716 0.975 0.589
Pu 0.868 0.773 0.249
Pu 0.873 0.284 0.259
Bi 0.000 0.000 0.000
Sb 0.124 0.244 0.621
Sb 0.250 0.750 0.500
Sb 0.497 0.876 0.120
Sb 0.622 0.503 0.379
Sb 0.756 0.378 0.880

(2)
This record from the Alexandria database describes a relaxed structure of In2SbW. The functional is GGA-PBE.

Computed properties:
formation energy without anion corrections: 0.581 eV/atom
symmetry: Cmmm (65)
electronic total energy: -5.06 eV per atom

Unit cell a=3.765 b=4.795 c=9.789 alpha=90.00 beta=90.00 gamma=90.00
Positions (direct):
In 0.000 0.000 0.223
In 0.000 0.000 0.777
In 0.500 0.500 0.223
In 0.500 0.500 0.777
Sb 0.000 0.500 0.500
Sb 0.500 0.000 0.500
W 0.000 0.500 0.000
W 0.500 0.000 0.000

(3)
This record from the Alexandria database describes a relaxed structure of HfGeAu. The functional is GGA-PBE.

Computed properties:
energy of formation: -0.37 eV per atom
symmetry: P3m1 (156)
electronic total energy: -6.32 eV per atom

Unit cell a=4.355 b=4.355 c=3.404 alpha=90.00 beta=90.00 gamma=120.00
Positions (direct):
Hf 0.000 0.000 0.000
Ge 0.667 0.333 0.410
Au 0.333 0.667 0.587

Among the records above, which one has the lowest electronic total energy? Pu8BiSb5

Among the records above, which one has the highest electronic total energy? In2SbW

Which value of electronic total energy does entry 3 give? -6.32 eV per atom

The highest electronic total energy belongs to which entry? In2SbW